First-principles (PBE) data for a geometry-optimized TiBe2CrNi structure, as listed in Alexandria.

Summary:
E_form   0.796 eV per atom
Theoretical density   4.3 g/cm³

abc: 4.0601 4.0901 4.0601
angles: 90.00 90.00 90.00
Closest atoms and distances in Å follow each position.
Fractional coordinates of all 5 atoms:
Ti 0.5000 0.5000 0.5000  4 Ni 2.87, 8 Be 2.88
Cr 0.0000 0.0000 0.0000  4 Be 2.03, 2 Ni 2.05
Ni 0.0000 0.5000 0.0000  2 Cr 2.05
Be 0.0000 0.0000 0.5000  2 Cr 2.03
Be 0.5000 0.0000 0.0000  2 Cr 2.03


First-principles (PBE) data for a geometry-optimized NpBe4Cr structure, as listed in Alexandria.

Summary:
E_form   0.254 eV per atom
Theoretical density   7.7 g/cm³

abc: 4.6267 4.6267 4.6267
angles: 60.00 60.00 60.00
Closest atoms and distances in Å follow each position.
Fractional coordinates of all 6 atoms:
Be 0.6273 0.1180 0.6273  6 Be 2.27-2.36
Be 0.6273 0.6273 0.1180  6 Be 2.27-2.36
Be 0.1180 0.6273 0.6273  6 Be 2.27-2.36
Be 0.6273 0.6273 0.6273  6 Be 2.27-2.36
Np 0.2500 0.2500 0.2500  12 Be 2.72, 4 Cr 2.83
Cr 0.0000 0.0000 0.0000  12 Be 2.71, 4 Np 2.83